1.
An optimized crystal structure of Rb4Pd3F12, computed with PBE.

The structure in POSCAR format:
```
Rb4Pd3F12
1.0
-8.3715 0.2948 -0.0107
2.5157 -7.9371 -0.9181
2.8912 3.0238 7.2573
Rb Pd F
4 3 12
Cartesian
-1.4824 -2.3093 3.1642 Rb
-4.1858 0.1474 -0.0054 Rb
1.4456 1.5119 3.6286 Rb
1.2578 -3.9686 -0.4591 Rb
-2.9279 -3.8212 -0.4644 Pd
2.7034 -2.4567 3.1696 Pd
-2.7402 1.6593 3.6233 Pd
2.6946 -2.6858 5.1100 F
-5.6593 -1.9328 1.2184 F
1.1483 -1.2806 3.2971 F
0.0291 0.9965 6.0212 F
-4.3594 1.0434 4.5270 F
-0.1727 -4.7129 3.8739 F
-1.6456 -1.1892 5.7555 F
1.3947 -5.6619 1.8015 F
-4.1130 -3.3380 3.0313 F
-2.9938 -5.6151 0.3073 F
-2.7921 0.0943 2.4545 F
-1.3191 -3.4294 0.5729 F
```

Crystal system   cubic
Theoretical density   3.3 g/cm3
Uncorrected formation energy   -1931 meV per atom
Total magnetic moment   0.116 μB/atom

---

2.
An optimized crystal structure of RbPd2F5, computed with PBE.

The structure in POSCAR format:
```
RbPd2F5
1.0
5.5536 0.0000 0.0000
-2.7768 4.9544 0.0000
0.0000 0.0000 10.2646
Rb Pd F
2 4 10
Cartesian
0.0000 4.9324 7.6984 Rb
2.7768 0.0221 2.5661 Rb
2.7768 3.5592 4.4685 Pd
2.7768 3.5592 0.6637 Pd
0.0000 1.3952 5.7960 Pd
0.0000 1.3952 9.6008 Pd
2.7768 4.3820 9.0387 F
2.7768 4.3820 6.3581 F
0.0000 3.2547 5.1679 F
0.0000 3.2547 10.2290 F
2.7768 2.8171 2.5661 F
0.0000 2.1373 7.6984 F
2.7768 1.6997 5.0967 F
2.7768 1.6997 0.0356 F
0.0000 0.5725 1.2258 F
0.0000 0.5725 3.9065 F
```

Crystal system   orthorhombic
Theoretical density   4.6 g/cm3
Uncorrected formation energy   -1532 meV per atom
Total magnetic moment   0.000 μB/atom
Energy above the lowest structure with this stoichiometry   0.088 eV/atom

---

3.
An optimized crystal structure of Rb2PdF4, computed with PBE.

The structure in POSCAR format:
```
Rb2PdF4
1.0
-3.5788 0.1303 0.6034
0.3716 -5.8179 3.4601
1.7867 5.6864 9.3693
Rb Pd F
4 2 8
Cartesian
0.0279 -0.6936 11.2441 Rb
-1.4484 0.6924 2.1887 Rb
-0.4179 1.3879 8.1507 Rb
-1.0026 -1.3891 5.2821 Rb
0.8933 2.8432 4.6846 Pd
0.1858 -2.9089 1.7301 Pd
1.7006 1.0058 9.8691 F
0.4577 -1.1373 2.9603 F
1.2615 3.1086 6.8108 F
0.8968 -3.2401 6.0187 F
-0.5107 -1.5106 8.2262 F
-0.9099 1.5094 5.2066 F
-1.4460 -3.6972 3.1510 F
0.0254 3.6960 10.2818 F
```

Crystal system   orthorhombic
Theoretical density   4.3 g/cm3
Uncorrected formation energy   -2033 meV per atom
Total magnetic moment   0.288 μB/atom
Energy above the lowest structure with this stoichiometry   0.136 eV/atom

---

4.
An optimized crystal structure of RbPdF, computed with PBE.

The structure in POSCAR format:
```
RbPdF
1.0
0.0000 3.2492 3.2492
3.2492 0.0000 3.2492
3.2492 3.2492 0.0000
Rb Pd F
1 1 1
Cartesian
1.6246 1.6246 1.6246 Rb
4.8738 4.8738 4.8738 Pd
0.0000 0.0000 0.0000 F
```

Crystal system   cubic
Theoretical density   5.1 g/cm3
Uncorrected formation energy   -699 meV per atom
Total magnetic moment   0.009 μB/atom
Energy above the lowest structure with this stoichiometry   0.649 eV/atom

---

5.
An optimized crystal structure of Rb3Pd4F12, computed with PBE.

The structure in POSCAR format:
```
Rb3Pd4F12
1.0
-6.9811 -2.4382 0.4232
4.4524 -4.6020 3.7227
0.4308 6.7791 2.9528
Rb Pd F
3 4 12
Cartesian
-1.2644 -3.5201 2.0729 Rb
2.4416 1.0886 3.3377 Rb
-3.2752 2.1704 1.6880 Rb
-1.0490 -0.1306 3.5493 Pd
-3.4906 -1.2191 0.2116 Pd
0.2154 3.3895 1.4764 Pd
2.2262 -2.3010 1.8613 Pd
1.5299 -4.0476 2.8814 F
-3.6278 3.7865 4.2172 F
-0.4284 1.6663 2.5683 F
2.9883 -0.1777 6.0268 F
1.4568 3.8697 3.1511 F
0.2217 0.4311 5.1760 F
-2.7012 0.9799 4.3324 F
-3.5547 -4.1309 3.9475 F
-1.6695 -1.9274 4.5303 F
-5.0863 -0.0835 1.0719 F
-2.3196 -0.6922 1.9226 F
0.6032 -1.2411 2.7662 F
```

Crystal system   cubic
Theoretical density   4.8 g/cm3
Uncorrected formation energy   -1761 meV per atom
Total magnetic moment   0.000 μB/atom

---

6.
An optimized crystal structure of RbPdF, computed with PBE.

The structure in POSCAR format:
```
RbPdF
1.0
-3.6441 5.1760 1.0904
-2.7438 -1.7352 -0.9331
-1.8096 -3.9378 12.6445
Rb Pd F
4 4 4
Cartesian
-2.3491 -2.3989 8.3121 Rb
-3.7185 -0.0162 1.7933 Rb
-5.8484 1.9019 4.4898 Rb
-4.4791 -0.4808 11.0086 Rb
-2.9752 -0.0569 5.7978 Pd
-4.0941 -4.5379 11.3071 Pd
-5.2223 -0.4401 7.0040 Pd
-4.1034 4.0409 1.4947 Pd
-3.6147 2.4922 2.9377 F
-6.1863 0.0746 8.8816 F
-4.5828 -2.9892 9.8642 F
-2.0113 -0.5715 3.9202 F
```

Crystal system   orthorhombic
Theoretical density   4.8 g/cm3
Uncorrected formation energy   -1204 meV per atom
Total magnetic moment   0.000 μB/atom
Energy above the lowest structure with this stoichiometry   0.144 eV/atom

---

7.
An optimized crystal structure of Rb2PdF4, computed with PBE.

The structure in POSCAR format:
```
Rb2PdF4
1.0
4.4062 0.0000 0.0000
0.0000 4.4062 0.0000
2.2031 2.2031 6.8891
Rb Pd F
2 1 4
Cartesian
4.4062 4.4062 4.9325 Rb
2.2031 2.2031 1.9566 Rb
0.0000 0.0000 0.0000 Pd
4.4062 4.4062 2.1294 F
2.2031 2.2031 4.7596 F
0.0000 2.2031 0.0000 F
2.2031 0.0000 0.0000 F
```

Crystal system   tetragonal
Theoretical density   4.4 g/cm3
Uncorrected formation energy   -2104 meV per atom
Total magnetic moment   0.000 μB/atom
Energy above the lowest structure with this stoichiometry   0.066 eV/atom

---

8.
An optimized crystal structure of RbPdF, computed with PBE.

The structure in POSCAR format:
```
RbPdF
1.0
-1.4626 -1.0556 3.8120
-2.3985 -0.5941 -3.4175
3.3151 -7.9836 -0.9388
Rb Pd F
2 2 2
Cartesian
0.0000 0.0000 0.0000 Rb
1.6575 -3.9918 -0.4694 Rb
-1.2578 -2.7438 -1.2424 Pd
0.7117 -6.8894 0.6981 Pd
0.3998 -6.7356 -1.7118 F
-0.9458 -2.8976 1.1675 F
```

Crystal system   hexagonal
Theoretical density   5.2 g/cm3
Uncorrected formation energy   -764 meV per atom
Total magnetic moment   0.000 μB/atom
Energy above the lowest structure with this stoichiometry   0.585 eV/atom

---

9.
An optimized crystal structure of RbPdF, computed with PBE.

The structure in POSCAR format:
```
RbPdF
1.0
-3.0334 1.9303 -10.5685
-4.2544 -1.6483 -4.9695
-1.3127 1.2595 6.4964
Rb Pd F
2 2 2
Cartesian
-4.8759 0.3045 -2.1274 Rb
-6.0663 1.0735 -6.2719 Rb
-3.0829 -0.2153 0.8455 Pd
-2.6463 0.8863 -4.9744 Pd
-3.2525 1.2336 -6.9023 F
-2.1386 0.5321 -3.0195 F
```

Crystal system   monoclinic
Theoretical density   4.4 g/cm3
Uncorrected formation energy   -1169 meV per atom
Total magnetic moment   0.000 μB/atom
Energy above the lowest structure with this stoichiometry   0.179 eV/atom

---

10.
An optimized crystal structure of RbPdF, computed with PBE.

The structure in POSCAR format:
```
RbPdF
1.0
-1.8729 1.9308 -2.4062
-5.1051 2.5920 0.6401
2.5093 7.6034 4.1769
F Rb Pd
2 2 2
Cartesian
-0.3696 6.4671 1.4496 F
-4.0991 5.6592 0.9612 F
-1.6906 4.1124 0.5524 Rb
-2.7781 8.0138 1.8584 Rb
-5.1238 3.8367 0.2996 Pd
0.6551 8.2895 2.1112 Pd
```

Crystal system   triclinic
Theoretical density   4.9 g/cm3
Uncorrected formation energy   -1189 meV per atom
Total magnetic moment   0.000 μB/atom
Energy above the lowest structure with this stoichiometry   0.160 eV/atom

---

11.
An optimized crystal structure of Rb3PdF5, computed with PBE.

The structure in POSCAR format:
```
Rb3PdF5
1.0
7.5459 0.0000 0.0000
0.0000 7.5459 0.0000
-3.7729 -3.7729 6.8665
Rb Pd F
6 2 10
Cartesian
5.0924 1.3194 0.0000 Rb
2.4535 6.2264 0.0000 Rb
6.2264 5.0924 0.0000 Rb
1.3194 2.4535 0.0000 Rb
0.0000 0.0000 3.4332 Rb
3.7729 3.7729 3.4332 Rb
3.7729 0.0000 3.4332 Pd
0.0000 3.7729 3.4332 Pd
4.7934 1.0204 4.9464 F
2.7525 -1.0204 4.9464 F
-1.0204 4.7934 4.9464 F
1.0204 2.7525 4.9464 F
-1.0204 2.7525 1.9201 F
1.0204 4.7934 1.9201 F
4.7934 -1.0204 1.9201 F
2.7525 1.0204 1.9201 F
3.7729 3.7729 0.0000 F
0.0000 0.0000 0.0000 F
```

Crystal system   tetragonal
Theoretical density   3.9 g/cm3
Uncorrected formation energy   -2089 meV per atom
Total magnetic moment   0.222 μB/atom
Energy above the lowest structure with this stoichiometry   0.175 eV/atom

---

12.
An optimized crystal structure of Rb3PdF8, computed with PBE.

The structure in POSCAR format:
```
Rb3PdF8
1.0
-1.4431 -4.2778 4.2118
6.0027 -0.9716 1.0699
-2.3552 6.8023 1.5764
Rb Pd F
3 1 8
Cartesian
-0.7593 -0.0501 4.2145 Rb
2.2798 -2.6247 2.6408 Rb
2.9636 1.6030 2.6436 Rb
0.0000 0.0000 0.0000 Pd
0.8804 -0.1786 1.8985 F
4.5244 -0.7685 2.5480 F
2.1999 4.3284 2.4028 F
-1.4440 4.9182 1.7533 F
3.6483 -3.3653 5.1048 F
0.0044 -2.7755 4.4553 F
-2.3201 2.3214 4.3100 F
1.3239 1.7316 4.9595 F
```

Crystal system   tetragonal
Theoretical density   3.8 g/cm3
Uncorrected formation energy   -1809 meV per atom
Total magnetic moment   0.086 μB/atom
Energy above the lowest structure with this stoichiometry   0.189 eV/atom

---

Which value of theoretical density does entry 9 give? 4.4 g/cm3

---

What is the theoretical density in the sixth record? 4.8 g/cm3